(1)
Material: Ti2HgOsBr
Method: DFT, PBE
State: relaxed

Magnetization = 0.00 μB/f.u.
Raw formation energy = 2.11 eV/f.u.
Space group = P4/mmm, No. 123
Crystal system = tetragonal

Unit cell a=4.7642 b=5.3468 c=4.7642 alpha=90.00 beta=90.00 gamma=90.00
Closest atoms and distances in Å follow each position.
Sites, in units of the cell vectors:
Hg 0.0000 0.5000 0.0000  2 Os 2.67
Ti 0.5000 0.0000 0.0000  2 Os 2.38
Br 0.5000 0.5000 0.5000  4 Hg 3.37, 8 Ti 3.58
Ti 0.0000 0.0000 0.5000  2 Os 2.38
Os 0.0000 0.0000 0.0000  4 Ti 2.38

***

(2)
Material: Nd2ErAs
Method: DFT, PBE
State: relaxed

E_tot = -5.23 eV per atom
Magnetization = 1.12 μB/f.u.
Space group = R-3m, No. 166
Crystal system = trigonal

Unit cell a=3.9833 b=3.9833 c=9.7730 alpha=78.24 beta=78.24 gamma=60.00
Closest atoms and distances in Å follow each position.
Sites, in units of the cell vectors:
As 0.0000 0.0000 0.0000  6 Nd 2.92
Nd 0.7298 0.7298 0.8107  3 As 2.92
Er 0.5000 0.5000 0.5000  6 Nd 3.74, 6 Er 3.98
Nd 0.2702 0.2702 0.1893  3 As 2.92

***

(3)
Material: Li2Tl2Br7
Method: DFT, PBE
State: relaxed

Magnetization = 0.00 μB/f.u.
Raw formation energy = -9.18 eV/f.u.
Space group = C2/c, No. 15
Crystal system = monoclinic

Unit cell a=7.7692 b=7.7692 c=14.5873 alpha=107.94 beta=107.94 gamma=90.75
Closest atoms and distances in Å follow each position.
Sites, in units of the cell vectors:
Li 0.4030 0.7083 0.4680  5 Br 2.57-2.84
Br 0.4874 0.6029 0.6297  2 Li 2.63-2.70, 1 Tl 2.76
Br 0.5126 0.3971 0.3703  2 Li 2.63-2.70, 1 Tl 2.76
Tl 0.1888 0.2328 0.7003  4 Br 2.70-2.77
Br 0.0774 0.3905 0.0767  2 Li 2.65-2.84, 1 Tl 2.76
Li 0.7083 0.4030 0.9680  5 Br 2.57-2.84
Br 0.0627 0.5859 0.3930  1 Li 2.57, 1 Tl 2.70
Br 0.5859 0.0627 0.8930  1 Li 2.57, 1 Tl 2.70
Br 0.9226 0.6095 0.9233  2 Li 2.65-2.84, 1 Tl 2.76
Br 0.4141 0.9373 0.1070  1 Li 2.57, 1 Tl 2.70
Tl 0.2328 0.1888 0.2003  4 Br 2.70-2.77
Br 0.9373 0.4141 0.6070  1 Li 2.57, 1 Tl 2.70
Li 0.2917 0.5970 0.0320  5 Br 2.57-2.84
Br 0.6029 0.4874 0.1297  2 Li 2.63-2.70, 1 Tl 2.76
Tl 0.8112 0.7672 0.2997  4 Br 2.70-2.77
Br 0.0339 0.9661 0.7500  2 Tl 2.77
Br 0.3971 0.5126 0.8703  2 Li 2.63-2.70, 1 Tl 2.76
Tl 0.7672 0.8112 0.7997  4 Br 2.70-2.77
Li 0.5970 0.2917 0.5320  5 Br 2.57-2.84
Br 0.9661 0.0339 0.2500  2 Tl 2.77
Br 0.6095 0.9226 0.4233  2 Li 2.65-2.84, 1 Tl 2.76
Br 0.3905 0.0774 0.5767  2 Li 2.65-2.84, 1 Tl 2.76

***

- Which value of magnetization does entry 3 give?
  0.00 μB/f.u.